[1]
# MgMnHgCl6 PBE optimized geometry
data_MgMnHgCl6
_chemical_formula_sum 'Mg2 Mn2 Hg2 Cl12'
_space_group_name_H-M_alt 'P -3 1 c'
_space_group_IT_number 163
_space_group_name_Hall '-P 3 2c'
_cell_length_a 6.4470
_cell_length_b 6.4470
_cell_length_c 11.8677
_cell_angle_alpha 90.00
_cell_angle_beta 90.00
_cell_angle_gamma 120.00
loop_
_atom_site_label
_atom_site_fract_x
_atom_site_fract_y
_atom_site_fract_z
Mg1 0.3333 0.6667 0.2500
Mn1 0.3333 0.6667 0.7500
Hg1 0.0000 0.0000 0.0000
Cl1 0.9998 0.3524 0.1311
# Size of the total moment: 5.000 μB per formula unit
# VASP energy: -64.60 eV per cell
# ΔE_f (raw): -1.13 eV/atom



[2]
# Na2MgHgCl6 PBE optimized geometry
data_Na2MgHgCl6
_chemical_formula_sum 'Na2 Mg1 Hg1 Cl6'
_space_group_name_H-M_alt 'P 1'
_space_group_IT_number 1
_cell_length_a 6.871
_cell_length_b 6.878
_cell_length_c 7.200
_cell_angle_alpha 90.09
_cell_angle_beta 118.45
_cell_angle_gamma 119.93
loop_
_space_group_symop_operation_xyz
'x,y,z'
loop_
_atom_site_label
_atom_site_fract_x
_atom_site_fract_y
_atom_site_fract_z
Na1 0.000 0.000 0.000
Na2 0.015 0.507 0.522
Mg1 0.414 0.206 0.622
Hg1 0.425 0.711 0.136
Cl1 0.255 0.835 0.346
Cl2 0.266 0.945 0.833
Cl3 0.511 0.420 0.347
Cl4 0.512 0.567 0.833
Cl5 0.887 0.320 0.833
Cl6 0.927 0.091 0.347
# Size of the total moment: 0.000 μB per formula unit
# VASP energy: -29.80 eV per cell
# ΔE_f (raw): -1.42 eV/atom



[3]
# MgHgPCl2 PBE optimized geometry
data_MgHgPCl2
_chemical_formula_sum 'Mg1 Hg1 P1 Cl2'
_space_group_name_H-M_alt 'P 4/m m m'
_space_group_IT_number 123
_space_group_name_Hall '-P 4 2'
_cell_length_a 4.730
_cell_length_b 4.730
_cell_length_c 5.710
_cell_angle_alpha 90.00
_cell_angle_beta 90.00
_cell_angle_gamma 90.00
loop_
_atom_site_label
_atom_site_fract_x
_atom_site_fract_y
_atom_site_fract_z
Mg1 0.000 0.000 0.000
Hg1 0.500 0.500 0.500
P1 0.000 0.000 0.500
Cl1 0.000 0.500 0.000
# Polymorph energy (0 for the lowest one): 0.000 eV per atom
# Size of the total moment: 1.354 μB per formula unit
# VASP energy: -12.66 eV per cell
# ΔE_f (raw): -0.33 eV/atom